A geometry-optimized YOs2W2 structure, computed with PBE.

Cell lengths 7.798, 7.798, 2.903 Å; angles 90.00, 90.00, 90.00 degrees
Fractional positions:
Y  0.000  0.000  0.000
Y  0.500  0.500  0.000
Os  0.136  0.364  0.000
Os  0.364  0.864  0.000
Os  0.636  0.136  0.000
Os  0.864  0.636  0.000
W  0.155  0.655  0.500
W  0.345  0.155  0.500
W  0.655  0.845  0.500
W  0.845  0.345  0.500

- N(E_F): 1.253 states/eV/atom
- Excess energy over the best structure of this formula in the dataset: 1.25 eV per formula unit
- Total moment: 0.00 μB/f.u.
- Formation energy: 187 meV per atom